The following is a DFT calculation (PBE-GGA) of crystalline CrIn2Pb at its relaxed geometry.

Output
**Energy of formation**: 369 meV/atom
**E**: -4.33 eV/atom

Lattice parameters (Å, degrees): 6.232 9.119 3.456 90.00 90.00 90.00
Space group Cmmm (No. 65)
One atom of each set of equivalent atoms:
1 Cr 0.000 0.000 0.000 (multiplicity 2)
2 In 0.250 0.250 0.500 (multiplicity 4)
3 Pb 0.000 0.500 0.000 (multiplicity 2)